1.
The following is a PBE calculation of crystalline AcNd2DyEr4 at its relaxed geometry, from Alexandria via LeMat-Bulk.

Cell and atoms, written as CIF:
```
data_AcNd2DyEr4
_space_group_name_H-M_alt 'C 1 2/c 1'
_space_group_IT_number 15
_cell_length_a 13.7876
_cell_length_b 13.4294
_cell_length_c 6.8972
_cell_angle_alpha 90.00
_cell_angle_beta 120.01
_cell_angle_gamma 90.00
loop_
_space_group_symop_operation_xyz
'x,y,z'
'-x,-y,-z'
'-x,y,-z+1/2'
'x,-y,z+1/2'
'x+1/2,y+1/2,z'
'-x+1/2,-y+1/2,-z'
'-x+1/2,y+1/2,-z+1/2'
'x+1/2,-y+1/2,z+1/2'
loop_
_atom_site_label
_atom_site_type_symbol
_atom_site_fract_x
_atom_site_fract_y
_atom_site_fract_z
Ac1 Ac 0.2500 0.2500 0.0000
Nd1 Nd 0.0000 0.0000 0.0000
Nd2 Nd 0.2500 0.2500 0.5000
Dy1 Dy 0.0000 0.5000 0.0000
Er1 Er 0.0000 0.2546 0.0127
Er2 Er 0.2452 0.4917 0.4943
```

Calculated density ... 8.1 g/cm³
Energy ... -4.13 eV per atom
ΔE_f ... 0.43 eV per atom
Density of states at the Fermi level ... 2.3678 states/eV/atom


2.
The following is a PBE calculation of crystalline AcNd6Dy2Er at its relaxed geometry, from Alexandria via LeMat-Bulk.

Cell and atoms, written as CIF:
```
data_AcNd6Dy2Er
_space_group_name_H-M_alt 'C 1 2/c 1'
_space_group_IT_number 15
_cell_length_a 9.4089
_cell_length_b 15.5397
_cell_length_c 9.7361
_cell_angle_alpha 90.00
_cell_angle_beta 95.68
_cell_angle_gamma 90.00
loop_
_space_group_symop_operation_xyz
'x,y,z'
'-x,-y,-z'
'-x,y,-z+1/2'
'x,-y,z+1/2'
'x+1/2,y+1/2,z'
'-x+1/2,-y+1/2,-z'
'-x+1/2,y+1/2,-z+1/2'
'x+1/2,-y+1/2,z+1/2'
loop_
_atom_site_label
_atom_site_type_symbol
_atom_site_fract_x
_atom_site_fract_y
_atom_site_fract_z
Ac1 Ac 0.0000 0.0267 0.2500
Nd1 Nd 0.0591 0.1852 0.9459
Nd2 Nd 0.1012 0.3904 0.1171
Nd3 Nd 0.2177 0.2253 0.3140
Dy1 Dy 0.2395 0.4448 0.4525
Er1 Er 0.0000 0.4134 0.7500
```

Calculated density ... 7.4 g/cm³
Energy ... -4.53 eV per atom
ΔE_f ... 0.12 eV per atom
Density of states at the Fermi level ... 1.4271 states/eV/atom


Number 1: total moment 0.09 μB per atom. Number 2: total moment 0.00 μB per atom.